! Nd2Bi2TeSe, optimized geometry, DFT GGA-PBE; values from VASP
&SYSTEM
  ibrav = 0, nat = 6, ntyp = 4
/
ATOMIC_SPECIES
Bi 208.98 Bi.upf
Nd 144.24 Nd.upf
Se 78.96 Se.upf
Te 127.60 Te.upf
CELL_PARAMETERS angstrom
-2.233 2.824 -2.530
-3.103 -3.049 -0.663
-4.678 3.108 7.597
ATOMIC_POSITIONS crystal
Bi 0.500 0.000 0.999
Bi 0.000 0.500 0.999
Nd 0.000 0.000 0.293
Nd 0.500 0.500 0.707
Se 0.000 0.000 0.628
Te 0.500 0.500 0.374
! Total DFT energy (no corrections), eV/atom: -5.208
! Volume, Å³/cell: 182.96
! Crystal system: tetragonal
! Total magnetization, μB per formula unit: 0.00